Compound: Ca2CoPdO4
Source: Alexandria
Functional: PBE+U
Structure: optimized geometry

Unit cell a=5.882 b=5.882 c=6.187 alpha=90.00 beta=90.00 gamma=90.00
Space group I-4 (No. 82)
One atom of each set of equivalent atoms:
Ca1 0.000 0.000 0.000
Ca2 0.000 0.500 0.250
Co1 0.000 0.500 0.750
Pd1 0.000 0.000 0.500
O1 0.172 0.303 0.538

DFT total energy	-0.441	Ry/atom